## P
Computed, not measured: ScIrBr2 after structural relaxation at the PBE level of DFT.

Output
- total magnetic moment (μB per cell) = 1.906
- symmetry = R-3m, No. 166
- ρ (g/cm³) = 6.4

abc: 8.421 8.421 8.421
angles: 26.23 26.23 26.23
Site moments in Bohr magnetons follow the coordinates.
Atoms (fractional coordinates):
Br 0.892 0.892 0.892  0.12
Br 0.108 0.108 0.108  0.12
Ir 0.500 0.500 0.500  1.07
Sc 0.000 0.000 0.000  0.29

---

## Q
Computed, not measured: ScIrBr2 after structural relaxation at the PBE level of DFT.

Output
- total magnetic moment (μB per cell) = 0.001
- symmetry = P4/mmm, No. 123
- ρ (g/cm³) = 8.7

abc: 3.351 3.351 6.778
angles: 90.00 90.00 90.00
Atoms (fractional coordinates):
Sc 0.500 0.500 0.750
Ir 0.500 0.500 0.250
Br 0.000 0.000 0.984
Br 0.000 0.000 0.516

---

Q (208 meV/atom below the next structure)

---

## P
Computed, not measured: ScIrBr2 after structural relaxation at the PBE level of DFT.

Output
- total magnetic moment (μB per cell) = 0.911
- symmetry = Cmmm, No. 65
- ρ (g/cm³) = 6.9

abc: 3.233 3.233 10.227
angles: 90.00 90.00 116.81
Site moments in Bohr magnetons follow the coordinates.
Atoms (fractional coordinates):
Br 0.000 0.000 0.556  -0.03
Br 0.000 0.000 0.944  -0.03
Ir 0.500 0.500 0.250  1.42
Sc 0.500 0.500 0.750  -0.33

---

## Q
Computed, not measured: ScIrBr2 after structural relaxation at the PBE level of DFT.

Output
- total magnetic moment (μB per cell) = 0.000
- symmetry = Fm-3m, No. 225
- ρ (g/cm³) = 8.7

abc: 4.759 4.759 4.759
angles: 60.00 60.00 60.00
Atoms (fractional coordinates):
Sc 0.000 0.000 0.000
Br 0.750 0.750 0.750
Br 0.250 0.250 0.250
Ir 0.500 0.500 0.500

---

## R
Computed, not measured: ScIrBr2 after structural relaxation at the PBE level of DFT.

Output
- total magnetic moment (μB per cell) = 0.000
- symmetry = I-42d, No. 122
- ρ (g/cm³) = 7.6

abc: 4.557 4.557 8.930
angles: 75.22 75.22 90.00
Atoms (fractional coordinates):
Br 0.375 0.365 0.750
Br 0.875 0.885 0.750
Br 0.115 0.625 0.250
Br 0.635 0.125 0.250
Sc 0.500 0.500 0.000
Sc 0.250 0.750 0.500
Ir 0.750 0.250 0.500
Ir 0.000 0.000 0.000

---

## S
Computed, not measured: ScIrBr2 after structural relaxation at the PBE level of DFT.

Output
- total magnetic moment (μB per cell) = 0.121
- symmetry = F-43m, No. 216
- ρ (g/cm³) = 8.2

abc: 4.847 4.847 4.847
angles: 60.00 60.00 60.00
Site moments in Bohr magnetons follow the coordinates.
Atoms (fractional coordinates):
Ir 0.500 0.500 0.500  -0.11
Br 0.250 0.250 0.250  0.00
Br 0.000 0.000 0.000  -0.02
Sc 0.750 0.750 0.750  0.01

---

R (266 meV/atom below the next structure)

---

## P
Computed, not measured: ScIrBr2 after structural relaxation at the PBE level of DFT.

Output
- total magnetic moment (μB per cell) = 0.000
- symmetry = P4/mmm, No. 123
- ρ (g/cm³) = 8.8

abc: 4.460 4.460 3.787
angles: 90.00 90.00 90.00
Atoms (fractional coordinates):
Sc 0.000 0.500 0.500
Br 0.000 0.000 0.000
Br 0.500 0.500 0.000
Ir 0.500 0.000 0.500

---

## Q
Computed, not measured: ScIrBr2 after structural relaxation at the PBE level of DFT.

Output
- total magnetic moment (μB per cell) = 0.000
- symmetry = P4mm, No. 99
- ρ (g/cm³) = 7.0

abc: 3.190 3.190 9.191
angles: 90.00 90.00 89.94
Atoms (fractional coordinates):
Ir 0.000 0.000 0.536
Br 0.500 0.500 0.330
Br 0.000 0.000 0.916
Sc 0.500 0.500 0.718

---

Q (472 meV/atom below the next structure)

---

## P
Computed, not measured: ScIrBr2 after structural relaxation at the PBE level of DFT.

Output
- total magnetic moment (μB per cell) = 0.000
- symmetry = Pmmm, No. 47
- ρ (g/cm³) = 8.2

abc: 3.230 5.677 4.398
angles: 90.00 90.00 90.00
Atoms (fractional coordinates):
Br 0.000 0.000 0.000
Br 0.500 0.500 0.000
Sc 0.000 0.500 0.500
Ir 0.500 0.000 0.500

---

## Q
Computed, not measured: ScIrBr2 after structural relaxation at the PBE level of DFT.

Output
- total magnetic moment (μB per cell) = 0.947
- symmetry = Immm, No. 71
- ρ (g/cm³) = 7.9

abc: 5.593 5.593 5.593
angles: 146.62 117.73 72.52
Site moments in Bohr magnetons follow the coordinates.
Atoms (fractional coordinates):
Br 0.499 0.499 0.000  0.04
Br 0.001 0.001 0.000  0.04
Sc 0.250 0.750 0.500  0.18
Ir 0.750 0.250 0.500  0.58

---

P (152 meV/atom below the next structure)

---

## P
Computed, not measured: ScIrBr2 after structural relaxation at the PBE level of DFT.

Output
- total magnetic moment (μB per cell) = 0.000
- symmetry = P4mm, No. 99
- ρ (g/cm³) = 6.7

abc: 3.638 3.637 7.412
angles: 90.00 90.00 90.00
Atoms (fractional coordinates):
Sc 0.500 0.500 0.692
Br 0.000 0.000 0.906
Br 0.500 0.500 0.331
Ir 0.000 0.000 0.572

---

## Q
Computed, not measured: ScIrBr2 after structural relaxation at the PBE level of DFT.

Output
- total magnetic moment (μB per cell) = 0.000
- symmetry = I-4m2, No. 119
- ρ (g/cm³) = 8.5

abc: 5.762 5.762 5.762
angles: 140.13 140.13 57.66
Atoms (fractional coordinates):
Br 0.000 0.000 0.000
Br 0.250 0.750 0.500
Sc 0.750 0.250 0.500
Ir 0.500 0.500 0.000

---

## R
Computed, not measured: ScIrBr2 after structural relaxation at the PBE level of DFT.

Output
- total magnetic moment (μB per cell) = 0.000
- symmetry = R-3m, No. 166
- ρ (g/cm³) = 7.9

abc: 8.874 8.874 8.874
angles: 21.73 21.73 21.73
Atoms (fractional coordinates):
Sc 0.500 0.500 0.500
Br 0.095 0.095 0.095
Br 0.905 0.905 0.905
Ir 0.000 0.000 0.000

---

P (400 meV/atom below the next structure)

---

## P
Computed, not measured: ScIrBr3 after structural relaxation at the PBE level of DFT.

Output
- total magnetic moment (μB per cell) = 3.000
- symmetry = Pm-3m, No. 221
- ρ (g/cm³) = 5.4

abc: 5.288 5.288 5.288
angles: 90.00 90.00 90.00
Site moments in Bohr magnetons follow the coordinates.
Atoms (fractional coordinates):
Sc 0.000 0.000 0.000  -0.07
Br 0.000 0.500 0.000  0.06
Br 0.000 0.000 0.500  0.05
Br 0.500 0.000 0.000  0.04
Ir 0.500 0.500 0.500  2.50

---

## Q
Computed, not measured: ScIrBr3 after structural relaxation at the PBE level of DFT.

Output
- total magnetic moment (μB per cell) = 1.145
- symmetry = Pm-3m, No. 221
- ρ (g/cm³) = 6.0

abc: 5.083 5.083 5.083
angles: 90.00 90.00 90.00
Site moments in Bohr magnetons follow the coordinates.
Atoms (fractional coordinates):
Br 0.000 0.000 0.500  -0.02
Br 0.000 0.500 0.000  -0.02
Br 0.500 0.000 0.000  -0.02
Sc 0.500 0.500 0.500  0.94
Ir 0.000 0.000 0.000  -0.09

---

P (20 meV/atom below the next structure)